This record from the Alexandria database describes a relaxed AsHSe2Br crystal. The functional is PBE-GGA.

Cell lengths 5.0168, 5.0168, 5.4604 Å; angles 90.00, 90.00, 90.00 degrees
Closest atoms and distances in Å follow each position.
Sites, in units of the cell vectors:
H (0.5000, 0.5000, 0.5000)  4 Br 3.55, 8 Se 3.71
As (0.0000, 0.0000, 0.0000)  4 Se 2.51, 2 Br 2.73
Se (0.0000, 0.5000, 0.0000)  2 As 2.51
Se (0.5000, 0.0000, 0.0000)  2 As 2.51
Br (0.0000, 0.0000, 0.5000)  2 As 2.73

Values from the calculation:
V ... 27.5 A^3/atom
Distance to the lowest polymorph of the same formula ... 0.196 eV per atom
M_tot ... 0.8 μB per cell


This record from the Alexandria database describes a relaxed U2PaCoC4 crystal. The functional is PBE-GGA.

Cell lengths 3.4262, 5.9338, 11.3720 Å; angles 90.00, 90.00, 106.78 degrees
Closest atoms and distances in Å follow each position.
Sites, in units of the cell vectors:
U (0.3674, 0.7347, 0.5550)  6 C 2.31-2.48
U (0.6326, 0.2653, 0.0550)  6 C 2.31-2.48
U (0.6326, 0.2653, 0.4450)  6 C 2.31-2.48
U (0.3674, 0.7347, 0.9450)  6 C 2.31-2.48
Pa (0.1037, 0.2074, 0.7500)  6 C 2.49-2.62
Pa (0.8963, 0.7926, 0.2500)  6 C 2.49-2.62
Co (0.8428, 0.6856, 0.7500)  4 C 1.94-2.06
Co (0.1572, 0.3144, 0.2500)  4 C 1.94-2.06
C (0.2737, 0.5473, 0.1254)  1 Co 1.94
C (0.7263, 0.4527, 0.6254)  1 Co 1.94
C (0.7263, 0.4527, 0.8746)  1 Co 1.94
C (0.2737, 0.5473, 0.3746)  1 Co 1.94
C (0.0000, 0.0000, 0.5000)  4 U 2.37
C (0.0000, 0.0000, 0.0000)  4 U 2.37
C (0.4441, 0.8881, 0.7500)  2 Co 2.06
C (0.5559, 0.1119, 0.2500)  2 Co 2.06

Values from the calculation:
DFT formation energy ... -0.16 eV/atom
V ... 13.8 A^3/atom
M_tot ... 0.0 μB per cell


This record from the Alexandria database describes a relaxed DyMg8Zn2 crystal. The functional is PBE-GGA.

Cell lengths 5.1464, 7.4796, 7.4796 Å; angles 111.12, 80.83, 80.83 degrees
Closest atoms and distances in Å follow each position.
Sites, in units of the cell vectors:
Dy (0.5000, 0.0000, 0.0000)  12 Mg 3.18-3.42
Mg (0.9108, 0.0764, 0.3237)  2 Zn 2.82-2.84, 1 Mg 3.05
Mg (0.9108, 0.3237, 0.0764)  2 Zn 2.82-2.84, 1 Mg 3.05
Mg (0.3113, 0.3920, 0.3920)  2 Zn 2.82, 1 Mg 3.02
Mg (0.5000, 0.2590, 0.7410)  2 Zn 2.66
Mg (0.5000, 0.7410, 0.2590)  2 Zn 2.66
Mg (0.6887, 0.6080, 0.6080)  2 Zn 2.82, 1 Mg 3.02
Mg (0.0892, 0.6763, 0.9236)  2 Zn 2.82-2.84, 1 Mg 3.05
Mg (0.0892, 0.9236, 0.6763)  2 Zn 2.82-2.84, 1 Mg 3.05
Zn (0.0000, 0.6879, 0.3121)  8 Mg 2.66-2.84
Zn (0.0000, 0.3121, 0.6879)  8 Mg 2.66-2.84

Values from the calculation:
DFT formation energy ... 0.04 eV/atom
V ... 23.4 A^3/atom
M_tot ... 0.0 μB per cell


Q: What is the M_tot in the first record?
A: 0.8 μB per cell


Q: What is the formula in the second record?
A: U2PaCoC4